Record 1
LiErZnCo | PBE | optimized geometry

Properties
E_tot = -3.80 eV/atom
crystal system = cubic
energy of formation from the pure elements = -0.3 eV/f.u.

a b c (Å): 4.4919 4.4919 4.4919
angles (deg): 60.00 60.00 60.00
Fractional coordinates of all 4 atoms:
1 Zn 0.0000 0.0000 0.0000
2 Li 0.7500 0.7500 0.7500
3 Co 0.2500 0.2500 0.2500
4 Er 0.5000 0.5000 0.5000

---

Record 2
LiErZrCo | PBE | optimized geometry

Properties
E_tot = -5.57 eV/atom
crystal system = cubic
energy of formation from the pure elements = -0.1 eV/f.u.

a b c (Å): 4.6884 4.6884 4.6884
angles (deg): 60.00 60.00 60.00
Fractional coordinates of all 4 atoms:
1 Li 0.0000 0.0000 0.0000
2 Co 0.5000 0.5000 0.5000
3 Zr 0.7500 0.7500 0.7500
4 Er 0.2500 0.2500 0.2500

---

Record 3
ErLuCo4 | PBE | optimized geometry

Properties
E_tot = -6.52 eV/atom
crystal system = cubic
energy of formation from the pure elements = -1.6 eV/f.u.

a b c (Å): 5.0171 5.0171 5.0171
angles (deg): 60.00 60.00 60.00
Fractional coordinates of all 6 atoms:
1 Lu 0.0000 0.0000 0.0000
2 Co 0.6252 0.6252 0.1245
3 Co 0.6252 0.1245 0.6252
4 Co 0.6252 0.6252 0.6252
5 Co 0.1245 0.6252 0.6252
6 Er 0.2500 0.2500 0.2500

---

Record 4
ErLuCo | PBE | optimized geometry

Properties
polymorph energy (0 for the lowest one) = 6.9 kJ per mole of atoms
E_tot = -5.50 eV/atom
crystal system = cubic
energy of formation from the pure elements = -0.3 eV/f.u.

a b c (Å): 4.6157 4.6157 4.6157
angles (deg): 60.00 60.00 60.00
Fractional coordinates of all 3 atoms:
1 Lu 0.5000 0.5000 0.5000
2 Co 0.2500 0.2500 0.2500
3 Er 0.0000 0.0000 0.0000

---

Record 5
ErLuCo2 | PBE | optimized geometry

Properties
E_tot = -6.05 eV/atom
crystal system = cubic
energy of formation from the pure elements = -0.9 eV/f.u.

a b c (Å): 4.6384 4.6384 4.6384
angles (deg): 60.00 60.00 60.00
Fractional coordinates of all 4 atoms:
1 Lu 0.5000 0.5000 0.5000
2 Co 0.2500 0.2500 0.2500
3 Co 0.7500 0.7500 0.7500
4 Er 0.0000 0.0000 0.0000

---

Record 6
Er2LuCo | PBE | optimized geometry

Properties
E_tot = -5.25 eV/atom
crystal system = tetragonal
energy of formation from the pure elements = -0.3 eV/f.u.

a b c (Å): 3.3792 3.3792 8.5572
angles (deg): 90.00 90.00 90.00
Fractional coordinates of all 4 atoms:
1 Lu 0.5000 0.5000 0.5000
2 Co 0.5000 0.5000 0.0000
3 Er 0.0000 0.0000 0.8125
4 Er 0.0000 0.0000 0.1875